VASP calculation (PBE) on Ti4TlIn after structural relaxation.

Unit cell a=4.7673 b=8.2882 c=5.7790 alpha=90.00 beta=90.00 gamma=90.00
With the nearest neighbours (Å) after each atom.
Sites, in units of the cell vectors:
Ti (0.2500, 0.7384, 0.4914)  7 Ti 2.79-3.06, 1 Tl 3.06, 3 In 3.06-3.07
In (0.2500, 0.4093, 0.2500)  10 Ti 2.76-3.07, 1 Tl 2.84
Tl (0.7501, 0.9330, 0.7500)  6 Ti 2.79-3.06, 1 In 2.84
Ti (0.7500, 0.2616, 0.5086)  7 Ti 2.79-3.06, 1 Tl 3.06, 3 In 3.06-3.07
Ti (0.2501, 0.1073, 0.7500)  1 Ti 2.61, 4 Tl 2.79-2.91
Ti (0.7500, 0.5781, 0.2500)  1 Ti 2.61, 4 In 2.76-2.89
Ti (0.2500, 0.4219, 0.7500)  1 Ti 2.61, 4 In 2.76-2.89
Tl (0.2499, 0.0670, 0.2500)  6 Ti 2.79-3.06, 1 In 2.84
Ti (0.2500, 0.7384, 0.0086)  7 Ti 2.79-3.06, 1 Tl 3.06, 3 In 3.06-3.07
Ti (0.7500, 0.2616, 0.9914)  7 Ti 2.79-3.06, 1 Tl 3.06, 3 In 3.06-3.07
Ti (0.7499, 0.8927, 0.2500)  1 Ti 2.61, 4 Tl 2.79-2.91
In (0.7500, 0.5907, 0.7500)  10 Ti 2.76-3.07, 1 Tl 2.84

Computed properties:
ΔE to the lowest computed polymorph = 0.084 eV per atom
Formation energy from the elements = 0.0241 eV per atom

=====

VASP calculation (PBE) on Sc2IBr after structural relaxation.

Unit cell a=5.0080 b=5.0080 c=5.0080 alpha=60.00 beta=60.00 gamma=60.00
With the nearest neighbours (Å) after each atom.
Sites, in units of the cell vectors:
Br (0.0000, 0.0000, 0.0000)  8 Sc 3.07
I (0.5000, 0.5000, 0.5000)  8 Sc 3.07
Sc (0.7500, 0.7500, 0.7500)  4 Br 3.07, 4 I 3.07
Sc (0.2500, 0.2500, 0.2500)  4 Br 3.07, 4 I 3.07

Computed properties:
Formation energy (no corrections) = -0.52 eV/atom
ΔE to the lowest computed polymorph = 0.000 eV per atom

=====

VASP calculation (PBE) on CuTeAu2 after structural relaxation.

Unit cell a=4.7854 b=4.7854 c=4.7854 alpha=60.00 beta=60.00 gamma=60.00
With the nearest neighbours (Å) after each atom.
Sites, in units of the cell vectors:
Cu (0.5000, 0.5000, 0.5000)  4 Te 2.93, 4 Au 2.93
Au (0.7500, 0.7500, 0.7500)  4 Cu 2.93, 4 Au 2.93
Te (0.2500, 0.2500, 0.2500)  4 Cu 2.93, 4 Au 2.93
Au (0.0000, 0.0000, 0.0000)  4 Au 2.93, 4 Te 2.93

Computed properties:
Formation energy (no corrections) = 0.26 eV/atom

=====

VASP calculation (PBE) on AcDyEr3 after structural relaxation.

Unit cell a=4.8769 b=10.1590 c=8.5532 alpha=59.45 beta=90.00 gamma=103.87
With the nearest neighbours (Å) after each atom.
Sites, in units of the cell vectors:
Er (0.1075, 0.2479, 0.4886)  8 Er 3.40-3.70, 1 Dy 3.52, 2 Ac 3.71-3.72
Er (0.5777, 0.1888, 0.7957)  6 Er 3.21-3.42, 2 Dy 3.38
Dy (0.2097, 0.4525, 0.7245)  5 Er 3.38-3.56, 2 Dy 3.38, 1 Ac 3.71
Dy (0.8343, 0.7016, 0.6971)  5 Er 3.38-3.56, 2 Dy 3.38, 1 Ac 3.71
Ac (0.4069, 0.8475, 0.2909)  7 Er 3.61-3.83, 3 Dy 3.71-3.85, 1 Ac 3.99
Er (0.2951, 0.6233, 0.0368)  6 Er 3.36-3.70, 2 Dy 3.55-3.56, 2 Ac 3.70
Er (0.9365, 0.9061, 0.9329)  8 Er 3.40-3.70, 1 Dy 3.52, 2 Ac 3.71-3.72
Er (0.4662, 0.9653, 0.6259)  6 Er 3.21-3.42, 2 Dy 3.38
Er (0.7488, 0.5307, 0.3848)  6 Er 3.36-3.70, 2 Dy 3.55-3.56, 2 Ac 3.70
Ac (0.6371, 0.3066, 0.1307)  7 Er 3.61-3.83, 3 Dy 3.71-3.85, 1 Ac 3.99

Computed properties:
Formation energy from the elements = 0.1602 eV per atom

=====

VASP calculation (PBE) on Ca2TaOs after structural relaxation.

Unit cell a=3.6817 b=4.2788 c=5.1974 alpha=90.00 beta=90.00 gamma=90.00
With the nearest neighbours (Å) after each atom.
Sites, in units of the cell vectors:
Os (0.5000, 0.0000, 0.5000)  4 Ta 2.82
Ca (0.5000, 0.5000, 0.0000)  4 Ca 2.82
Ta (0.0000, 0.5000, 0.5000)  4 Os 2.82
Ca (0.0000, 0.0000, 0.0000)  4 Ca 2.82

Computed properties:
ΔE to the lowest computed polymorph = 0.407 eV per atom
Formation energy from the elements = 0.5493 eV per atom

=====

VASP calculation (PBE) on La6MgIn after structural relaxation.

Unit cell a=5.8639 b=5.8639 c=7.7238 alpha=90.00 beta=90.00 gamma=90.00
With the nearest neighbours (Å) after each atom.
Sites, in units of the cell vectors:
La (0.5000, 0.5000, 0.5000)  10 La 3.52-3.86
La (0.0000, 0.5000, 0.2470)  6 La 3.50-3.91, 2 In 3.50, 2 Mg 3.52
La (0.0000, 0.5000, 0.7530)  6 La 3.50-3.91, 2 In 3.50, 2 Mg 3.52
La (0.5000, 0.0000, 0.7530)  6 La 3.50-3.91, 2 In 3.50, 2 Mg 3.52
Mg (0.0000, 0.0000, 0.5000)  8 La 3.52, 2 In 3.86
La (0.5000, 0.5000, 0.0000)  10 La 3.50-3.86
La (0.5000, 0.0000, 0.2470)  6 La 3.50-3.91, 2 In 3.50, 2 Mg 3.52
In (0.0000, 0.0000, 0.0000)  8 La 3.50, 2 Mg 3.86

Computed properties:
ΔE to the lowest computed polymorph = 0.000 eV per atom
Formation energy from the elements = -0.1068 eV per atom